1.
A relaxed structure of UCrTc2, computed with PBE.

Output
DOS at the Fermi energy	6.04	states/eV/cell
crystal system	trigonal
space-group type	R-3m (166)
formation energy from the elements	0.255	eV/atom
magnetization	0.0	μB per cell

Cell lengths 9.2350, 9.2350, 9.2350 Å; angles 17.56, 17.56, 17.56 degrees
Last column: nearest neighbours and their distance in Å.
Element x y z (fractional)
U  0.0000  0.0000  0.0000  6 U 2.82, 6 Tc 3.07
Cr  0.5000  0.5000  0.5000  6 Tc 2.54, 6 Cr 2.82
Tc  0.2380  0.2380  0.2380  3 Cr 2.54, 6 Tc 2.82
Tc  0.7620  0.7620  0.7620  3 Cr 2.54, 6 Tc 2.82


2.
A relaxed structure of U2CrTc5, computed with PBE.

Output
DOS at the Fermi energy	18.24	states/eV/cell
crystal system	orthorhombic
space-group type	Pbam (55)
formation energy from the elements	-0.019	eV/atom
magnetization	0.8	μB per cell

Cell lengths 5.6042, 10.6668, 4.3450 Å; angles 90.00, 90.00, 90.00 degrees
Last column: nearest neighbours and their distance in Å.
Element x y z (fractional)
U  0.1562  0.1420  0.0000  10 Tc 2.73-2.93
U  0.3438  0.6420  0.0000  10 Tc 2.73-2.93
U  0.6562  0.3580  0.0000  10 Tc 2.73-2.93
U  0.8438  0.8580  0.0000  10 Tc 2.73-2.93
Cr  0.0000  0.5000  0.5000  8 Tc 2.53-2.80
Cr  0.5000  0.0000  0.5000  8 Tc 2.53-2.80
Tc  0.0000  0.0000  0.5000  4 U 2.79, 2 Cr 2.80, 6 Tc 2.92-3.05
Tc  0.1004  0.7313  0.5000  1 Cr 2.53, 2 U 2.74, 2 Tc 2.83
Tc  0.1706  0.3975  0.0000  2 Cr 2.61, 4 U 2.73-2.91, 1 Tc 2.90
Tc  0.3294  0.8975  0.0000  2 Cr 2.61, 4 U 2.73-2.91, 1 Tc 2.90
Tc  0.3996  0.2313  0.5000  1 Cr 2.53, 2 U 2.74, 2 Tc 2.83
Tc  0.5000  0.5000  0.5000  4 U 2.79, 2 Cr 2.80, 6 Tc 2.92-3.05
Tc  0.6004  0.7687  0.5000  1 Cr 2.53, 2 U 2.74, 2 Tc 2.83
Tc  0.6706  0.1025  0.0000  2 Cr 2.61, 4 U 2.73-2.91, 1 Tc 2.90
Tc  0.8294  0.6025  0.0000  2 Cr 2.61, 4 U 2.73-2.91, 1 Tc 2.90
Tc  0.8996  0.2687  0.5000  1 Cr 2.53, 2 U 2.74, 2 Tc 2.83


3.
A relaxed structure of UCrTc, computed with PBE.

Output
DOS at the Fermi energy	4.50	states/eV/cell
crystal system	tetragonal
space-group type	I4mm (107)
formation energy from the elements	0.202	eV/atom
magnetization	0.0	μB per cell

Cell lengths 4.6359, 4.6359, 4.6359 Å; angles 133.91, 133.91, 67.23 degrees
Last column: nearest neighbours and their distance in Å.
Element x y z (fractional)
U  0.0000  0.0000  0.0000  1 Cr 2.24, 1 Tc 2.43
Cr  0.2898  0.2898  0.0000  1 U 2.24
Tc  0.6856  0.6856  0.0000  1 U 2.43, 4 Cr 2.69


4.
A relaxed structure of VCr8Tc2, computed with PBE.

Output
DOS at the Fermi energy	11.47	states/eV/cell
crystal system	triclinic
space-group type	P-1 (2)
formation energy from the elements	0.235	eV/atom
magnetization	0.0	μB per cell

Cell lengths 2.8818, 6.4059, 7.9856 Å; angles 74.29, 87.26, 87.97 degrees
Last column: nearest neighbours and their distance in Å.
Element x y z (fractional)
V  0.0000  0.0000  0.0000  4 Cr 2.42-2.46
Cr  0.2437  0.3358  0.5456  6 Cr 2.35-2.53, 2 Tc 2.54-2.57
Cr  0.2617  0.6684  0.2140  3 Cr 2.27-2.44, 1 V 2.46
Cr  0.2791  0.9858  0.3690  5 Cr 2.39-2.65, 2 Tc 2.48-2.50
Cr  0.2964  0.3375  0.0285  2 Cr 2.27-2.35, 1 V 2.42, 2 Tc 2.47-2.49
Cr  0.7036  0.6625  0.9715  2 Cr 2.27-2.35, 1 V 2.42, 2 Tc 2.47-2.49
Cr  0.7209  0.0142  0.6310  5 Cr 2.39-2.65, 2 Tc 2.48-2.50
Cr  0.7383  0.3316  0.7860  3 Cr 2.27-2.44, 1 V 2.46
Cr  0.7563  0.6642  0.4544  6 Cr 2.35-2.53, 2 Tc 2.54-2.57
Tc  0.2315  0.6851  0.7141  8 Cr 2.47-2.63
Tc  0.7685  0.3149  0.2859  8 Cr 2.47-2.63


5.
A relaxed structure of VCr2Tc, computed with PBE.

Output
DOS at the Fermi energy	10.29	states/eV/cell
crystal system	tetragonal
space-group type	I-42d (122)
formation energy from the elements	0.624	eV/atom
magnetization	0.0	μB per cell

Cell lengths 5.3098, 5.3098, 5.3098 Å; angles 102.73, 102.73, 124.02 degrees
Last column: nearest neighbours and their distance in Å.
Element x y z (fractional)
V  0.0000  0.0000  0.0000  4 Cr 2.44, 2 Tc 2.49
V  0.7500  0.2500  0.5000  4 Cr 2.44, 2 Tc 2.49
Cr  0.1275  0.6250  0.0025  2 Tc 2.41, 2 V 2.44, 2 Cr 2.49
Cr  0.3750  0.3775  0.5025  2 Tc 2.41, 2 V 2.44, 2 Cr 2.49
Cr  0.6225  0.1250  0.9975  2 Tc 2.41, 2 V 2.44, 2 Cr 2.49
Cr  0.8750  0.8725  0.4975  2 Tc 2.41, 2 V 2.44, 2 Cr 2.49
Tc  0.2500  0.7500  0.5000  4 Cr 2.41, 2 V 2.49
Tc  0.5000  0.5000  0.0000  4 Cr 2.41, 2 V 2.49


6.
A relaxed structure of V6CrTc2, computed with PBE.

Output
DOS at the Fermi energy	9.55	states/eV/cell
crystal system	monoclinic
space-group type	C2/m (12)
formation energy from the elements	0.204	eV/atom
magnetization	0.0	μB per cell

Cell lengths 5.6625, 5.6625, 5.2587 Å; angles 106.15, 106.15, 52.56 degrees
Last column: nearest neighbours and their distance in Å.
Element x y z (fractional)
V  0.1254  0.6299  0.7327  1 Cr 2.36, 4 V 2.48-2.64
V  0.3169  0.3169  0.1219  1 Cr 2.26, 1 Tc 2.42
V  0.3701  0.8746  0.2673  1 Cr 2.36, 4 V 2.48-2.64
V  0.6299  0.1254  0.7327  1 Cr 2.36, 4 V 2.48-2.64
V  0.6831  0.6831  0.8781  1 Cr 2.26, 1 Tc 2.42
V  0.8746  0.3701  0.2673  1 Cr 2.36, 4 V 2.48-2.64
Cr  0.5000  0.5000  0.5000  6 V 2.26-2.36
Tc  0.1172  0.1172  0.7247  3 V 2.42-2.66
Tc  0.8828  0.8828  0.2753  3 V 2.42-2.66


7.
A relaxed structure of V3Cr2Tc, computed with PBE.

Output
DOS at the Fermi energy	3.72	states/eV/cell
crystal system	tetragonal
space-group type	P4/mmm (123)
formation energy from the elements	-0.198	eV/atom
magnetization	0.0	μB per cell

Cell lengths 2.9557, 2.9557, 8.8563 Å; angles 90.00, 90.00, 90.00 degrees
Last column: nearest neighbours and their distance in Å.
Element x y z (fractional)
V  0.0000  0.0000  0.0000  8 Cr 2.54
V  0.0000  0.0000  0.3265  4 Cr 2.54, 4 Tc 2.59
V  0.0000  0.0000  0.6735  4 Cr 2.54, 4 Tc 2.59
Cr  0.5000  0.5000  0.1635  8 V 2.54
Cr  0.5000  0.5000  0.8365  8 V 2.54
Tc  0.5000  0.5000  0.5000  8 V 2.59


8.
A relaxed structure of V4Cr3Tc, computed with PBE.

Output
DOS at the Fermi energy	6.21	states/eV/cell
crystal system	orthorhombic
space-group type	Pmmm (47)
formation energy from the elements	-0.171	eV/atom
magnetization	0.0	μB per cell

Cell lengths 2.9492, 4.1787, 8.2919 Å; angles 90.00, 90.00, 90.00 degrees
Last column: nearest neighbours and their distance in Å.
Element x y z (fractional)
V  0.0000  0.0000  0.0000  8 Cr 2.52-2.56
V  0.0000  0.0000  0.5000  4 Tc 2.56, 4 Cr 2.57
V  0.0000  0.5000  0.2437  6 Cr 2.50-2.56, 2 Tc 2.59
V  0.0000  0.5000  0.7563  6 Cr 2.50-2.56, 2 Tc 2.59
Cr  0.5000  0.0000  0.2461  8 V 2.52-2.57
Cr  0.5000  0.0000  0.7539  8 V 2.52-2.57
Cr  0.5000  0.5000  0.0000  8 V 2.50-2.56
Tc  0.5000  0.5000  0.5000  8 V 2.56-2.59


9.
A relaxed structure of V2CrTc, computed with PBE.

Output
DOS at the Fermi energy	3.13	states/eV/cell
crystal system	tetragonal
space-group type	P4/mmm (123)
formation energy from the elements	-0.247	eV/atom
magnetization	0.0	μB per cell

Cell lengths 2.9716, 2.9716, 5.9495 Å; angles 90.00, 90.00, 90.00 degrees
Last column: nearest neighbours and their distance in Å.
Element x y z (fractional)
V  0.0000  0.0000  0.2422  4 Cr 2.55, 4 Tc 2.60
V  0.0000  0.0000  0.7578  4 Cr 2.55, 4 Tc 2.60
Cr  0.5000  0.5000  0.0000  8 V 2.55
Tc  0.5000  0.5000  0.5000  8 V 2.60


10.
A relaxed structure of V4CrTc5, computed with PBE.

Output
DOS at the Fermi energy	6.07	states/eV/cell
crystal system	tetragonal
space-group type	P4/mmm (123)
formation energy from the elements	-0.278	eV/atom
magnetization	0.0	μB per cell

Cell lengths 3.0187, 3.0187, 15.0622 Å; angles 90.00, 90.00, 90.00 degrees
Last column: nearest neighbours and their distance in Å.
Element x y z (fractional)
V  0.0000  0.0000  0.1003  8 Tc 2.61-2.62
V  0.0000  0.0000  0.3009  8 Tc 2.61-2.62
V  0.0000  0.0000  0.6991  8 Tc 2.61-2.62
V  0.0000  0.0000  0.8997  8 Tc 2.61-2.62
Cr  0.0000  0.0000  0.5000  8 Tc 2.60
Tc  0.5000  0.5000  0.0000  8 V 2.61
Tc  0.5000  0.5000  0.2013  8 V 2.61-2.62
Tc  0.5000  0.5000  0.4016  4 Cr 2.60, 4 V 2.62
Tc  0.5000  0.5000  0.5984  4 Cr 2.60, 4 V 2.62
Tc  0.5000  0.5000  0.7987  8 V 2.61-2.62


11.
A relaxed structure of V6Cr3Tc, computed with PBE.

Output
DOS at the Fermi energy	24.00	states/eV/cell
crystal system	monoclinic
space-group type	P2_1/m (11)
formation energy from the elements	-0.143	eV/atom
magnetization	0.0	μB per cell

Cell lengths 7.2622, 4.1483, 8.8992 Å; angles 90.00, 105.90, 90.00 degrees
Last column: nearest neighbours and their distance in Å.
Element x y z (fractional)
V  0.0463  0.2500  0.4011  7 Cr 2.52-2.56, 1 V 2.57
V  0.1435  0.7500  0.2008  5 Cr 2.51-2.60, 2 V 2.57, 1 Tc 2.60
V  0.2437  0.2500  0.9979  4 Cr 2.53-2.57, 3 Tc 2.57-2.62, 1 V 2.62
V  0.3411  0.7500  0.7958  4 Cr 2.53-2.54, 3 Tc 2.59-2.63, 1 V 2.64
V  0.3484  0.2500  0.3040  8 V 2.52-2.64
V  0.4450  0.2500  0.5986  3 V 2.52-2.57, 4 Cr 2.52-2.59, 1 Tc 2.56
V  0.5550  0.7500  0.4014  3 V 2.52-2.57, 4 Cr 2.52-2.59, 1 Tc 2.56
V  0.6516  0.7500  0.6960  8 V 2.52-2.64
V  0.6589  0.2500  0.2042  4 Cr 2.53-2.54, 3 Tc 2.59-2.63, 1 V 2.64
V  0.7563  0.7500  0.0021  4 Cr 2.53-2.57, 3 Tc 2.57-2.62, 1 V 2.62
V  0.8565  0.2500  0.7992  5 Cr 2.51-2.60, 2 V 2.57, 1 Tc 2.60
V  0.9537  0.7500  0.5989  7 Cr 2.52-2.56, 1 V 2.57
Cr  0.0463  0.7500  0.8975  8 V 2.51-2.60
Cr  0.1469  0.2500  0.6980  8 V 2.51-2.57
Cr  0.2513  0.7500  0.5004  8 V 2.52-2.59
Cr  0.7487  0.2500  0.4996  8 V 2.52-2.59
Cr  0.8531  0.7500  0.3020  8 V 2.51-2.57
Cr  0.9537  0.2500  0.1025  8 V 2.51-2.60
Tc  0.4486  0.7500  0.1026  8 V 2.56-2.63
Tc  0.5514  0.2500  0.8974  8 V 2.56-2.63


12.
A relaxed structure of V6CrTc, computed with PBE.

Output
DOS at the Fermi energy	13.03	states/eV/cell
crystal system	orthorhombic
space-group type	Cmmm (65)
formation energy from the elements	-0.140	eV/atom
magnetization	0.0	μB per cell

Cell lengths 5.1812, 5.1812, 4.1955 Å; angles 90.00, 90.00, 109.45 degrees
Last column: nearest neighbours and their distance in Å.
Element x y z (fractional)
V  0.0000  0.5000  0.5000  4 V 2.58, 2 Cr 2.59, 2 Tc 2.59
V  0.2460  0.2460  0.0000  4 V 2.55-2.63, 2 Cr 2.56, 2 Tc 2.59
V  0.2464  0.7536  0.0000  8 V 2.55-2.63
V  0.5000  0.0000  0.5000  4 V 2.58, 2 Cr 2.59, 2 Tc 2.59
V  0.7536  0.2464  0.0000  8 V 2.55-2.63
V  0.7540  0.7540  0.0000  4 V 2.55-2.63, 2 Cr 2.56, 2 Tc 2.59
Cr  0.0000  0.0000  0.5000  8 V 2.56-2.59
Tc  0.5000  0.5000  0.5000  8 V 2.59